First-principles (meta-GGA SCAN) data for HgSbIr at its PBEsol-relaxed geometry, as listed in Alexandria.

The value obtained for the total magnetic moment is 0.000 μB/cell. The uncorrected formation energy is 0.2084 eV/atom. The calculation puts the total DFT energy (no corrections) at -58.6335 eV per atom. The value obtained for the density of states at the Fermi level is 0.6 states/eV/f.u. The density is 13.4 g/cm³. For the relative energy among the computed polymorphs, the calculation gives 24 kJ/mol of formula units.

The structure belongs to space group P3m1 (No. 156); the cell edges are 3.3787, 3.3787 and 6.4283 Å and the angles 90.00°, 90.00° and 120.00°. Symmetry generates all atoms from Hg at (0.0000, 0.0000, 0.0000), Sb at (0.6667, 0.3333, 0.4180) and Ir at (0.3333, 0.6667, 0.6808).